Below is an optimized crystal structure of NbFe2Hg, with properties calculated at the PBE level.

Summary:
**ΔH_f (0 K)**: 1.6 eV/f.u.
**E**: -25.436 eV for the cell shown

Unit cell a=4.4620 b=4.4620 c=4.4620 alpha=60.00 beta=60.00 gamma=60.00
Each line ends with the local moment (μB).
Element x y z (fractional)
Fe1 0.2500 0.2500 0.2500  2.73
Fe2 0.0000 0.0000 0.0000  2.35
Nb1 0.7500 0.7500 0.7500  -0.43
Hg1 0.5000 0.5000 0.5000  -0.01